Entry 1:
ErPuPaAl | GGA-PBE | relaxed

```
data_ErPuPaAl
_cell_length_a 7.243
_cell_length_b 7.243
_cell_length_c 7.243
_cell_angle_alpha 90.00
_cell_angle_beta 90.00
_cell_angle_gamma 90.00
_space_group_name_H-M_alt 'F -4 3 m'
_space_group_IT_number 216
_space_group_name_Hall 'F -4 2 3'
loop_
_atom_site_label
_atom_site_type_symbol
_atom_site_fract_x
_atom_site_fract_y
_atom_site_fract_z
_atom_site_occupancy
Er1 Er 0.000 0.000 0.000 1
Pu1 Pu 0.000 0.000 0.500 1
Pa1 Pa 0.250 0.250 0.750 1
Al1 Al 0.250 0.250 0.250 1
```

Computed properties:
Magnetization: 1.72 μB/atom
Energy of formation: 0.092 eV per atom
V: 379.9 Å³/cell

Entry 2:
Ho2TmPb | GGA-PBE | relaxed

```
data_Ho2TmPb
_cell_length_a 3.606
_cell_length_b 3.606
_cell_length_c 9.151
_cell_angle_alpha 90.00
_cell_angle_beta 90.00
_cell_angle_gamma 90.00
_space_group_name_H-M_alt 'P 4/m m m'
_space_group_IT_number 123
_space_group_name_Hall '-P 4 2'
loop_
_atom_site_label
_atom_site_type_symbol
_atom_site_fract_x
_atom_site_fract_y
_atom_site_fract_z
_atom_site_occupancy
Ho1 Ho 0.000 0.000 0.238 1
Tm1 Tm 0.500 0.500 0.500 1
Pb1 Pb 0.500 0.500 0.000 1
```

Computed properties:
Magnetization: 0.00 μB/atom
Energy of formation: -0.206 eV per atom
V: 119.0 Å³/cell

Entry 3:
FeGeHRh2 | GGA-PBE | relaxed

```
data_FeGeHRh2
_cell_length_a 3.942
_cell_length_b 3.942
_cell_length_c 3.703
_cell_angle_alpha 90.00
_cell_angle_beta 90.00
_cell_angle_gamma 90.00
_space_group_name_H-M_alt 'P 4/m m m'
_space_group_IT_number 123
_space_group_name_Hall '-P 4 2'
loop_
_atom_site_label
_atom_site_type_symbol
_atom_site_fract_x
_atom_site_fract_y
_atom_site_fract_z
_atom_site_occupancy
Fe1 Fe 0.000 0.000 0.000 1
Ge1 Ge 0.500 0.500 0.000 1
H1 H 0.000 0.000 0.500 1
Rh1 Rh 0.000 0.500 0.500 1
```

Computed properties:
Final energy: -6.3943 eV per atom
Magnetization: 0.61 μB/atom
V: 57.5 Å³/cell

Entry 4:
AcThAl | GGA-PBE | relaxed

```
data_AcThAl
_cell_length_a 5.2896
_cell_length_b 5.2896
_cell_length_c 3.8940
_cell_angle_alpha 90.00
_cell_angle_beta 90.00
_cell_angle_gamma 120.00
_space_group_name_H-M_alt 'P 3 m 1'
_space_group_IT_number 156
_space_group_name_Hall 'P 3 -2"'
loop_
_atom_site_label
_atom_site_type_symbol
_atom_site_fract_x
_atom_site_fract_y
_atom_site_fract_z
_atom_site_occupancy
Ac1 Ac 0.0000 0.0000 0.0000 1
Th1 Th 0.3333 0.6667 0.4385 1
Al1 Al 0.6667 0.3333 0.6427 1
```

Computed properties:
Magnetization: 0.00 μB/atom
Energy of formation: 0.085 eV per atom
V: 94.4 Å³/cell

Entry 5:
KBaV3 | GGA-PBE | relaxed

```
data_KBaV3
_cell_length_a 5.621
_cell_length_b 5.621
_cell_length_c 5.621
_cell_angle_alpha 90.00
_cell_angle_beta 90.00
_cell_angle_gamma 90.00
_space_group_name_H-M_alt 'P m -3 m'
_space_group_IT_number 221
_space_group_name_Hall '-P 4 2 3'
loop_
_atom_site_label
_atom_site_type_symbol
_atom_site_fract_x
_atom_site_fract_y
_atom_site_fract_z
_atom_site_occupancy
K1 K 0.000 0.000 0.000 1
Ba1 Ba 0.500 0.500 0.500 1
V1 V 0.000 0.000 0.500 1
```

Computed properties:
Magnetization: 2.59 μB/atom
Energy of formation: 2.102 eV per atom
V: 177.6 Å³/cell

Entry 6:
BeSbAs2 | GGA-PBE | relaxed

```
data_BeSbAs2
_cell_length_a 3.762
_cell_length_b 5.032
_cell_length_c 8.204
_cell_angle_alpha 90.00
_cell_angle_beta 90.00
_cell_angle_gamma 90.00
_space_group_name_H-M_alt 'C m m 2'
_space_group_IT_number 35
_space_group_name_Hall 'C 2 -2'
loop_
_atom_site_label
_atom_site_type_symbol
_atom_site_fract_x
_atom_site_fract_y
_atom_site_fract_z
_atom_site_occupancy
Be1 Be 0.000 0.000 0.000 1
Sb1 Sb 0.000 0.500 0.242 1
As1 As 0.000 0.000 0.546 1
As2 As 0.000 0.500 0.852 1
```

Computed properties:
Energy relative to the elements, uncorrected: 0.45 eV/atom
Magnetization: 0.00 μB/atom
V: 155.3 Å³/cell